(1)
SrLaMn2 | GGA-PBEsol | optimized geometry

a = 3.617 Å, b = 4.671 Å, c = 11.860 Å
α = 90.00°, β = 90.00°, γ = 90.00°
Atoms (fractional coordinates):
Sr 0.000 0.000 0.000
Sr 0.000 0.500 0.500
La 0.500 0.000 0.720
La 0.500 0.500 0.220
Mn 0.000 0.000 0.294
Mn 0.000 0.500 0.794
Mn 0.500 0.000 0.395
Mn 0.500 0.500 0.895

Calculated values
Relative energy among the computed polymorphs (meV/atom): 0.0
Formation energy (eV per atom): 0.50
V (A^3/atom): 25.0

=====

(2)
K2Mo4O13 | GGA-PBEsol | optimized geometry

a = 8.036 Å, b = 8.335 Å, c = 10.043 Å
α = 107.22°, β = 103.42°, γ = 109.21°
Atoms (fractional coordinates):
K 0.188 0.238 0.311
K 0.244 0.785 0.434
K 0.756 0.215 0.566
K 0.812 0.762 0.689
Mo 0.273 0.202 0.709
Mo 0.275 0.605 0.728
Mo 0.315 0.507 0.050
Mo 0.330 0.909 0.062
Mo 0.670 0.091 0.938
Mo 0.685 0.493 0.950
Mo 0.725 0.395 0.272
Mo 0.727 0.798 0.291
O 0.088 0.646 0.655
O 0.098 0.984 0.645
O 0.139 0.346 0.662
O 0.155 0.941 0.959
O 0.183 0.284 0.908
O 0.212 0.635 0.943
O 0.218 0.513 0.184
O 0.297 0.944 0.229
O 0.368 0.188 0.570
O 0.397 0.618 0.609
O 0.451 0.863 0.881
O 0.462 0.514 0.864
O 0.476 0.214 0.856
O 0.524 0.786 0.144
O 0.538 0.486 0.136
O 0.549 0.137 0.119
O 0.603 0.382 0.391
O 0.632 0.812 0.430
O 0.703 0.056 0.771
O 0.782 0.487 0.816
O 0.788 0.365 0.057
O 0.817 0.716 0.092
O 0.845 0.059 0.041
O 0.861 0.654 0.338
O 0.902 0.016 0.355
O 0.912 0.354 0.345

Calculated values
Uncorrected formation energy (eV per atom): -2.04
V (A^3/atom): 14.9

=====

(3)
Ga2CuAsO | GGA-PBEsol | optimized geometry

a = 4.276 Å, b = 4.276 Å, c = 4.259 Å
α = 90.00°, β = 90.00°, γ = 90.00°
Atoms (fractional coordinates):
Ga 0.000 0.500 0.000
Ga 0.500 0.000 0.000
Cu 0.000 0.000 0.500
As 0.500 0.500 0.500
O 0.500 0.500 0.000

Calculated values
Uncorrected formation energy (eV per atom): 0.10
V (A^3/atom): 15.6

=====

(4)
Lu6AgTe2 | GGA-PBEsol | optimized geometry

a = 21.052 Å, b = 3.927 Å, c = 11.166 Å
α = 90.00°, β = 90.00°, γ = 90.00°
Atoms (fractional coordinates):
Lu 0.009 0.250 0.111
Lu 0.029 0.750 0.379
Lu 0.108 0.250 0.819
Lu 0.141 0.750 0.063
Lu 0.159 0.250 0.531
Lu 0.232 0.750 0.742
Lu 0.268 0.250 0.242
Lu 0.341 0.750 0.031
Lu 0.359 0.250 0.563
Lu 0.392 0.750 0.319
Lu 0.471 0.250 0.879
Lu 0.491 0.750 0.611
Lu 0.509 0.250 0.389
Lu 0.529 0.750 0.121
Lu 0.608 0.250 0.681
Lu 0.641 0.750 0.437
Lu 0.659 0.250 0.969
Lu 0.732 0.750 0.758
Lu 0.768 0.250 0.258
Lu 0.841 0.750 0.469
Lu 0.859 0.250 0.937
Lu 0.892 0.750 0.181
Lu 0.971 0.250 0.621
Lu 0.991 0.750 0.889
Ag 0.076 0.750 0.637
Ag 0.424 0.250 0.137
Ag 0.576 0.750 0.863
Ag 0.924 0.250 0.363
Te 0.127 0.250 0.270
Te 0.237 0.250 0.958
Te 0.263 0.750 0.458
Te 0.373 0.750 0.770
Te 0.627 0.250 0.230
Te 0.737 0.250 0.542
Te 0.763 0.750 0.042
Te 0.873 0.750 0.730

Calculated values
Uncorrected formation energy (eV per atom): -0.64
V (A^3/atom): 25.6

=====

(5)
La3Ni2Sn7 | GGA-PBEsol | optimized geometry

a = 13.862 Å, b = 13.862 Å, c = 4.580 Å
α = 90.00°, β = 90.00°, γ = 160.95°
Atoms (fractional coordinates):
La 0.000 0.000 0.000
La 0.316 0.684 0.500
La 0.684 0.316 0.500
Ni 0.128 0.872 0.000
Ni 0.872 0.128 0.000
Sn 0.089 0.911 0.500
Sn 0.219 0.781 0.000
Sn 0.411 0.589 0.000
Sn 0.500 0.500 0.500
Sn 0.589 0.411 0.000
Sn 0.781 0.219 0.000
Sn 0.911 0.089 0.500

Calculated values
Formation energy (eV per atom): -0.69
V (A^3/atom): 23.9

=====

(6)
LiBi2O4 | GGA-PBEsol | optimized geometry

a = 8.070 Å, b = 8.070 Å, c = 6.004 Å
α = 90.00°, β = 90.00°, γ = 90.00°
Atoms (fractional coordinates):
Li 0.250 0.250 0.049
Li 0.250 0.250 0.549
Li 0.750 0.750 0.451
Li 0.750 0.750 0.951
Bi 0.079 0.579 0.250
Bi 0.079 0.921 0.750
Bi 0.421 0.579 0.750
Bi 0.421 0.921 0.250
Bi 0.579 0.079 0.750
Bi 0.579 0.421 0.250
Bi 0.921 0.079 0.250
Bi 0.921 0.421 0.750
O 0.023 0.162 0.591
O 0.023 0.338 0.091
O 0.162 0.023 0.091
O 0.162 0.477 0.591
O 0.338 0.023 0.591
O 0.338 0.477 0.091
O 0.477 0.162 0.091
O 0.477 0.338 0.591
O 0.523 0.662 0.409
O 0.523 0.838 0.909
O 0.662 0.523 0.909
O 0.662 0.977 0.409
O 0.838 0.523 0.409
O 0.838 0.977 0.909
O 0.977 0.662 0.909
O 0.977 0.838 0.409

Calculated values
Relative energy among the computed polymorphs (meV/atom): 40.3
Uncorrected formation energy (eV per atom): -1.25
V (A^3/atom): 14.0

=====

(7)
CuI | GGA-PBEsol | optimized geometry

a = 4.052 Å, b = 4.052 Å, c = 7.165 Å
α = 90.00°, β = 90.00°, γ = 120.00°
Atoms (fractional coordinates):
Cu 0.333 0.667 0.407
Cu 0.667 0.333 0.593
I 0.333 0.667 0.765
I 0.667 0.333 0.235

Calculated values
Uncorrected formation energy (eV per atom): -0.12
V (A^3/atom): 25.5

=====

(8)
Na3TiMn | GGA-PBEsol | optimized geometry

a = 5.491 Å, b = 5.491 Å, c = 5.491 Å
α = 90.00°, β = 90.00°, γ = 90.00°
Atoms (fractional coordinates):
Na 0.000 0.000 0.500
Na 0.000 0.500 0.000
Na 0.500 0.000 0.000
Ti 0.500 0.500 0.500
Mn 0.000 0.000 0.000

Calculated values
Formation energy (eV per atom): 1.49
V (A^3/atom): 33.1